Entry 1:
Tb12ErC7 | the Alexandria database | PBE | relaxed; M_tot = 0.000 μB/atom; DFT total energy = -129.05 eV/cell; ΔH_f (0 K) = -21.0 kJ per mole of atoms
1.0
6.589 3.804 2.944
-6.589 3.804 2.944
0.000 -7.608 2.944
Tb Er C
12 1 7
direct
0.058 0.341 0.126
0.126 0.058 0.341
0.193 0.713 0.570
0.287 0.430 0.807
0.341 0.126 0.058
0.430 0.807 0.287
0.570 0.193 0.713
0.659 0.874 0.942
0.713 0.570 0.193
0.807 0.287 0.430
0.874 0.942 0.659
0.942 0.659 0.874
0.500 0.500 0.500
0.000 0.000 0.000
0.148 0.385 0.458
0.385 0.458 0.148
0.458 0.148 0.385
0.542 0.852 0.615
0.615 0.542 0.852
0.852 0.615 0.542

***

Entry 2:
Tb3ErC2 | the Alexandria database | PBE | relaxed; M_tot = 0.048 μB/atom; DFT total energy = -76.84 eV/cell; ΔH_f (0 K) = -24.4 kJ per mole of atoms
1.0
7.142 0.000 0.000
-3.571 6.185 0.000
0.000 0.000 6.295
Tb Er C
6 2 4
direct
0.166 0.333 0.282
0.166 0.834 0.282
0.333 0.166 0.718
0.667 0.834 0.282
0.834 0.166 0.718
0.834 0.667 0.718
0.333 0.667 0.709
0.667 0.333 0.291
0.000 0.000 0.500
0.000 0.500 0.500
0.500 0.000 0.500
0.500 0.500 0.500